Below is a relaxed structure of Dy2YAl3FeCu2, with properties calculated at the PBE-GGA level.

**Magnetization**: 2.05 μB per formula unit
**Theoretical density**: 6.6 g/cm3
**DFT total energy**: -5.12 eV/atom

Cell and atoms, written as POSCAR:
```
Dy2YAl3FeCu2
1.0
-2.401 1.560 2.528
-1.851 -6.546 2.283
5.483 3.464 3.070
Al Dy Cu Y Fe
3 2 2 1 1
Cartesian
2.872 -0.741 6.072 Al
1.123 -3.128 5.884 Al
-0.333 0.044 2.543 Al
0.428 -5.105 3.558 Dy
4.713 0.743 4.018 Dy
1.843 0.919 4.069 Cu
-0.616 -2.438 3.805 Cu
2.121 -1.801 3.127 Y
0.006 -0.005 0.008 Fe
```

Below is a relaxed structure of Gd2DyAl7Cu2, with properties calculated at the PBE-GGA level.

**Magnetization**: 0.00 μB per formula unit
**Theoretical density**: 5.9 g/cm3
**DFT total energy**: -4.45 eV/atom

Cell and atoms, written as POSCAR:
```
Gd2DyAl7Cu2
1.0
-7.768 -1.296 4.516
-6.539 4.060 4.815
-8.848 2.017 0.256
Al Cu Gd Dy
7 2 2 1
Cartesian
-13.021 4.069 6.464 Al
-14.197 3.028 4.142 Al
-11.577 2.390 4.793 Al
-10.134 0.712 3.122 Al
-9.508 3.440 3.275 Al
-13.647 1.340 6.312 Al
-8.958 1.753 5.445 Al
-7.767 1.604 3.216 Cu
-15.388 3.177 6.371 Cu
-3.283 0.678 1.359 Gd
-19.872 4.103 8.228 Gd
0.000 0.000 0.000 Dy
```

Below is a relaxed structure of GdDy2Al7Cu2, with properties calculated at the PBE-GGA level.

**Magnetization**: 0.00 μB per formula unit
**Theoretical density**: 6.0 g/cm3
**DFT total energy**: -4.45 eV/atom

Cell and atoms, written as POSCAR:
```
GdDy2Al7Cu2
1.0
-8.828 -1.064 1.763
-6.132 -1.354 6.537
-7.175 3.534 4.266
Al Dy Cu Gd
7 2 2 1
Cartesian
-13.753 -0.075 6.154 Al
-9.223 -1.150 5.138 Al
-9.754 1.339 3.982 Al
-12.380 -0.223 8.585 Al
-11.067 0.558 6.283 Al
-12.911 2.267 7.428 Al
-8.382 1.191 6.413 Al
-18.993 0.958 10.783 Dy
-3.141 0.158 1.783 Dy
-7.421 0.374 4.213 Cu
-14.714 0.742 8.353 Cu
0.000 0.000 0.000 Gd
```

Below is a relaxed structure of Gd2DyAl3Cu3, with properties calculated at the PBE-GGA level.

**Magnetization**: 0.01 μB per formula unit
**Theoretical density**: 7.2 g/cm3
**DFT total energy**: -4.48 eV/atom

Cell and atoms, written as POSCAR:
```
Gd2DyAl3Cu3
1.0
-3.407 0.892 1.923
-3.115 -5.635 -2.904
3.340 -0.599 6.195
Cu Gd Dy Al
3 2 1 3
Cartesian
0.225 -6.225 3.286 Cu
-2.657 -3.506 1.105 Cu
-0.524 -1.842 4.112 Cu
-1.293 -2.342 -1.204 Gd
1.386 -0.251 2.573 Gd
0.132 -3.647 1.925 Dy
-2.260 -5.640 2.799 Al
-0.750 -4.461 4.928 Al
-1.650 -1.020 1.736 Al
```

Below is a relaxed structure of GdDyAl4Cu2, with properties calculated at the PBE-GGA level.

**Magnetization**: 0.01 μB per formula unit
**Theoretical density**: 6.3 g/cm3
**DFT total energy**: -4.40 eV/atom

Cell and atoms, written as POSCAR:
```
GdDyAl4Cu2
1.0
6.794 0.000 0.000
0.000 2.111 5.103
0.000 -2.111 5.103
Cu Dy Al Gd
2 1 4 1
Cartesian
0.000 0.000 7.268 Cu
3.397 0.000 2.933 Cu
0.000 0.000 4.384 Dy
1.334 0.000 1.443 Al
4.738 0.000 8.767 Al
2.055 0.000 8.767 Al
5.460 0.000 1.443 Al
3.397 0.000 5.821 Gd
```

Below is a relaxed structure of GdDy2Al3CuGe2, with properties calculated at the PBE-GGA level.

**Magnetization**: 0.00 μB per formula unit
**Theoretical density**: 7.2 g/cm3
**DFT total energy**: -4.89 eV/atom

Cell and atoms, written as POSCAR:
```
GdDy2Al3CuGe2
1.0
-0.754 -1.668 3.771
-1.078 -6.257 -2.984
6.440 1.829 2.098
Ge Al Dy Gd Cu
2 3 2 1 1
Cartesian
3.561 -1.692 2.294 Ge
1.042 -4.401 0.591 Ge
-1.201 -5.641 -0.406 Al
0.864 -1.859 1.680 Al
4.571 0.567 3.495 Al
1.515 -5.519 -2.139 Dy
6.004 -0.691 0.896 Dy
3.200 -2.643 -0.529 Gd
0.007 -0.006 -0.001 Cu
```